1.
DFT (PBE) results for an optimized crystal structure of Na2HgGe3Pt4.

Properties
SG: P-4m2 (115)
Crystal system: tetragonal
Theoretical density in g/cm3: 10.4
Calculated total energy in eV per formula unit: -44.73
Fermi-level density of states in states/eV/cell: 3.9
DFT formation energy in meV per atom: -377.6

Geometry as POSCAR:
```
Na2HgGe3Pt4
1.0
-0.757 -4.224 -0.063
3.979 -0.692 -1.452
3.570 -0.792 10.160
Na Hg Ge Pt
2 1 3 4
Cartesian
0.500 -2.307 2.468
4.681 -0.943 6.934
3.396 -2.854 4.322
1.785 -0.396 5.080
2.749 -2.806 8.870
2.432 -0.444 0.533
1.611 -2.458 -0.758
0.000 0.000 0.000
1.952 -2.629 6.601
3.229 -0.621 2.801
```


2.
DFT (PBE) results for an optimized crystal structure of NaHg2GeS4.

Properties
SG: Pmn2_1 (31)
Crystal system: orthorhombic
Theoretical density in g/cm3: 4.8
Calculated total energy in eV per formula unit: -25.80
Formation energy (no corrections) in eV per atom: -0.344
Fermi-level density of states in states/eV/cell: 4.9

Geometry as POSCAR:
```
NaHg2GeS4
1.0
-5.456 3.127 2.303
-4.262 -5.425 -2.732
0.696 -4.353 7.558
Na Hg Ge S
2 4 2 8
Cartesian
-5.689 0.095 5.643
-6.284 -3.079 -1.195
-3.871 -1.412 2.205
-3.541 -3.477 5.791
-7.705 -3.876 6.203
-8.071 -1.589 2.231
-5.862 -5.026 2.710
-0.801 -1.001 -0.502
-2.735 -0.043 0.227
-7.632 -3.860 3.544
-2.425 -1.539 4.402
-8.732 -1.912 -0.297
-4.519 -5.558 4.462
-6.095 0.092 2.796
-5.699 -2.385 7.098
-4.819 -3.682 1.205
```


3.
DFT (PBE) results for an optimized crystal structure of NaHgGeSb.

Properties
SG: F-43m (216)
Crystal system: cubic
Theoretical density in g/cm3: 6.9
Calculated total energy in eV per formula unit: -10.42
Formation energy (no corrections) in eV per atom: -0.015
Fermi-level density of states in states/eV/cell: 1.0

Geometry as POSCAR:
```
NaHgGeSb
1.0
-1.564 1.694 4.671
-3.974 -2.339 2.422
0.874 -2.890 4.245
Sb Ge Hg Na
1 1 1 1
Cartesian
0.000 0.000 0.000
-1.166 -0.884 2.834
-2.332 -1.768 5.669
-3.498 -2.651 8.503
```


> The highest calculated total energy belongs to which entry?

NaHgGeSb